# Y2TcO6, optimized geometry, DFT PBE-GGA
# raw total energy = -8.404 eV/atom
# raw formation energy = -57.88 kcal/mol of atoms
# DOS at the Fermi energy = 8.76 states/eV/cell
data_Y2TcO6
_chemical_formula_sum 'Y4 Tc2 O12'
_symmetry_space_group_name_H-M 'P 1 21/c 1'
_symmetry_Int_Tables_number 14
_cell_length_a 5.430
_cell_length_b 5.766
_cell_length_c 9.043
_cell_angle_alpha 90.00
_cell_angle_beta 119.96
_cell_angle_gamma 90.00
loop_
_symmetry_equiv_pos_as_xyz
'x,y,z'
'-x,-y,-z'
'-x,y+1/2,-z+1/2'
'x,-y+1/2,z+1/2'
loop_
_atom_site_label
_atom_site_type_symbol
_atom_site_fract_x
_atom_site_fract_y
_atom_site_fract_z
Y1 Y 0.191 0.087 0.232
Tc1 Tc 0.500 0.000 0.000
O1 O 0.154 0.174 0.947
O2 O 0.263 0.731 0.904
O3 O 0.444 0.081 0.779

=====

# YTcO4, optimized geometry, DFT PBE-GGA
# raw total energy = -8.324 eV/atom
# raw formation energy = -51.05 kcal/mol of atoms
# DOS at the Fermi energy = 6.27 states/eV/cell
data_YTcO4
_chemical_formula_sum 'Y2 Tc2 O8'
_symmetry_space_group_name_H-M 'P 1 21/c 1'
_symmetry_Int_Tables_number 14
_cell_length_a 5.813
_cell_length_b 4.970
_cell_length_c 5.733
_cell_angle_alpha 90.00
_cell_angle_beta 109.67
_cell_angle_gamma 90.00
loop_
_symmetry_equiv_pos_as_xyz
'x,y,z'
'-x,-y,-z'
'-x,y+1/2,-z+1/2'
'x,-y+1/2,z+1/2'
loop_
_atom_site_label
_atom_site_type_symbol
_atom_site_fract_x
_atom_site_fract_y
_atom_site_fract_z
Y1 Y 0.000 0.000 0.000
Tc1 Tc 0.500 0.000 0.500
O1 O 0.175 0.152 0.387
O2 O 0.383 0.717 0.683

=====

# Y6TcO12, optimized geometry, DFT PBE-GGA
# raw total energy = -8.810 eV/atom
# raw formation energy = -71.30 kcal/mol of atoms
# DOS at the Fermi energy = 18.86 states/eV/cell
data_Y6TcO12
_chemical_formula_sum 'Y18 Tc3 O36'
_symmetry_space_group_name_H-M 'R -3'
_symmetry_Int_Tables_number 148
_symmetry_space_group_name_Hall '-R 3'
_cell_length_a 9.8406
_cell_length_b 9.8406
_cell_length_c 9.4126
_cell_angle_alpha 90.00
_cell_angle_beta 90.00
_cell_angle_gamma 120.00
loop_
_atom_site_label
_atom_site_type_symbol
_atom_site_fract_x
_atom_site_fract_y
_atom_site_fract_z
Y1 Y 0.0421 0.7873 0.1438
Tc1 Tc 0.0000 0.0000 0.5000
O1 O 0.0323 0.8089 0.9006
O2 O 0.0374 0.8536 0.3882

=====

# Y2TcO, optimized geometry, DFT PBE-GGA
# raw total energy = -8.286 eV/atom
# raw formation energy = -28.19 kcal/mol of atoms
# DOS at the Fermi energy = 9.49 states/eV/cell
data_Y2TcO
_chemical_formula_sum 'Y6 Tc3 O3'
_symmetry_space_group_name_H-M 'R -3 m'
_symmetry_Int_Tables_number 166
_symmetry_space_group_name_Hall '-R 3 2"'
_cell_length_a 3.4123
_cell_length_b 3.4123
_cell_length_c 21.5776
_cell_angle_alpha 90.00
_cell_angle_beta 90.00
_cell_angle_gamma 120.00
loop_
_atom_site_label
_atom_site_type_symbol
_atom_site_fract_x
_atom_site_fract_y
_atom_site_fract_z
Y1 Y 0.0000 0.0000 0.2368
Tc1 Tc 0.0000 0.0000 0.0000
O1 O 0.0000 0.0000 0.5000

=====

# Y2TcO6, optimized geometry, DFT PBE-GGA
# raw total energy = -8.390 eV/atom
# raw formation energy = -57.56 kcal/mol of atoms
# DOS at the Fermi energy = 5.57 states/eV/cell
data_Y2TcO6
_chemical_formula_sum 'Y4 Tc2 O12'
_symmetry_space_group_name_H-M 'P 42/m n m'
_symmetry_Int_Tables_number 136
_symmetry_space_group_name_Hall '-P 4n 2n'
_cell_length_a 4.997
_cell_length_b 4.997
_cell_length_c 10.015
_cell_angle_alpha 90.00
_cell_angle_beta 90.00
_cell_angle_gamma 90.00
loop_
_atom_site_label
_atom_site_type_symbol
_atom_site_fract_x
_atom_site_fract_y
_atom_site_fract_z
Y1 Y 0.000 0.000 0.172
Tc1 Tc 0.000 0.000 0.500
O1 O 0.187 0.187 0.354
O2 O 0.232 0.232 0.000

=====

# Y2TcO, optimized geometry, DFT PBE-GGA
# raw total energy = -7.982 eV/atom
# raw formation energy = -21.18 kcal/mol of atoms
# DOS at the Fermi energy = 12.90 states/eV/cell
data_Y2TcO
_chemical_formula_sum 'Y8 Tc4 O4'
_symmetry_space_group_name_H-M 'I -4 2 d'
_symmetry_Int_Tables_number 122
_symmetry_space_group_name_Hall 'I -4 2bw'
_cell_length_a 6.566
_cell_length_b 6.566
_cell_length_c 7.855
_cell_angle_alpha 90.00
_cell_angle_beta 90.00
_cell_angle_gamma 90.00
loop_
_atom_site_label
_atom_site_type_symbol
_atom_site_fract_x
_atom_site_fract_y
_atom_site_fract_z
Y1 Y 0.173 0.250 0.125
Tc1 Tc 0.000 0.000 0.500
O1 O 0.000 0.000 0.000

=====

# Y3TcO7, optimized geometry, DFT PBE-GGA
# raw total energy = -8.728 eV/atom
# raw formation energy = -66.13 kcal/mol of atoms
# DOS at the Fermi energy = 11.66 states/eV/cell
data_Y3TcO7
_chemical_formula_sum 'Y12 Tc4 O28'
_symmetry_space_group_name_H-M 'C 2 2 21'
_symmetry_Int_Tables_number 20
_cell_length_a 7.579
_cell_length_b 10.534
_cell_length_c 7.435
_cell_angle_alpha 90.00
_cell_angle_beta 90.00
_cell_angle_gamma 90.00
loop_
_symmetry_equiv_pos_as_xyz
'x,y,z'
'-x,-y,z+1/2'
'x,-y,-z'
'-x,y,-z+1/2'
'x+1/2,y+1/2,z'
'-x+1/2,-y+1/2,z+1/2'
'x+1/2,-y+1/2,-z'
'-x+1/2,y+1/2,-z+1/2'
loop_
_atom_site_label
_atom_site_type_symbol
_atom_site_fract_x
_atom_site_fract_y
_atom_site_fract_z
Y1 Y 0.041 0.000 0.000
Y2 Y 0.232 0.269 0.758
Tc1 Tc 0.002 0.500 0.000
O1 O 0.000 0.130 0.250
O2 O 0.000 0.138 0.750
O3 O 0.000 0.430 0.750
O4 O 0.175 0.371 0.041
O5 O 0.203 0.377 0.476

=====

# YTc2O2, optimized geometry, DFT PBE-GGA
# raw total energy = -7.783 eV/atom
# raw formation energy = -8.32 kcal/mol of atoms
# DOS at the Fermi energy = 7.13 states/eV/cell
data_YTc2O2
_chemical_formula_sum 'Y2 Tc4 O4'
_symmetry_space_group_name_H-M 'P 4/m b m'
_symmetry_Int_Tables_number 127
_symmetry_space_group_name_Hall '-P 4 2ab'
_cell_length_a 7.089
_cell_length_b 7.089
_cell_length_c 3.753
_cell_angle_alpha 90.00
_cell_angle_beta 90.00
_cell_angle_gamma 90.00
loop_
_atom_site_label
_atom_site_type_symbol
_atom_site_fract_x
_atom_site_fract_y
_atom_site_fract_z
Y1 Y 0.000 0.000 0.000
Tc1 Tc 0.112 0.388 0.000
O1 O 0.162 0.338 0.500

=====

Number 7 is which compound?
Y3TcO7

=====

Which of these has the lowest DOS at the Fermi energy?
number 5